A plane-wave DFT calculation with PBE was carried out for a relaxed structure of Ca2CdPb6.

Structure (POSCAR):
```
Ca2CdPb6
1.0
3.653 0.000 0.000
0.000 8.256 -4.298
0.000 -0.412 9.298
Pb Cd Ca
6 1 2
direct
0.000 0.727 0.727
0.000 0.000 0.273
0.500 0.000 0.628
0.500 0.371 0.371
0.500 0.628 0.000
0.000 0.273 0.000
0.500 0.000 0.000
0.000 0.666 0.333
0.000 0.333 0.666
```

## Properties
ΔE_f   -0.157 eV/atom
Calculated total energy   -28.584 eV per cell
Symmetry   Amm2 (38)